## Si4Te (PBE)

Data for a relaxed structure of Si4Te.

a b c (Å): 3.918 3.918 8.744
angles (deg): 90.00 90.00 120.00
Fractional positions:
Si 0.667 0.333 0.814
Si 0.333 0.667 0.456
Si 0.333 0.667 0.186
Si 0.667 0.333 0.544
Te 0.000 0.000 0.000

* total energy: -4.485 eV/atom
* SG: P-3m1
* formation energy without anion corrections: 481 meV/atom